A relaxed In2O3 crystal. Source: Alexandria via LeMat-Bulk, functional PBE-GGA.

Its electronic total energy is -168.70 eV for the cell shown. The calculation puts the spin magnetization at 0.0 μB per formula unit.

The space group is R-3c (No. 167, hexagonal axes) and the conventional cell measures 5.5808, 5.5808 and 14.7660 Å, with angles of 90.00, 90.00 and 120.00 degrees. Symmetry generates all atoms from In at (0.0000, 0.0000, 0.1429) and O at (0.0000, 0.2964, 0.2500).